This record from Alexandria via LeMat-Bulk describes Ho5TlPt2 after structural relaxation. The functional is PBE.

## Properties
As for the formation enthalpy at 0 K: -807 meV per atom. Its density of states at the Fermi level is 19.7 states/eV/cell. The total moment comes out at 0.01 μB per formula unit. Its symmetry is No. 140.

The structure in extended XYZ format:
```
16
Lattice="-0.8363 -7.4492 -2.3160 0.8464 -2.4022 7.4207 -6.6041 5.3862 -1.6506" Properties=species:S:1:pos:R:3 pbc="T T T"
Ho -4.6358 -1.6673 2.8207
Ho -1.6456 -6.8013 4.9651
Ho 0.0000 0.0000 0.0000
Ho 0.0051 -4.9257 2.5523
Ho -4.9484 2.3361 -1.5110
Ho -5.2119 -1.8275 -1.3129
Ho -4.3724 2.4963 2.6226
Ho -1.3821 -2.6377 4.7670
Ho -2.2216 -6.9615 0.8315
Ho -1.9581 -2.7979 0.6334
Tl -3.2945 -4.6954 3.0032
Tl -3.2995 0.2302 0.4509
Pt 0.1927 -1.8923 2.3768
Pt -0.4168 -5.0738 -0.4589
Pt 0.4269 -4.7775 5.5636
Pt -0.1826 -7.9590 2.7279
```

This record from Alexandria via LeMat-Bulk describes HoTlPt after structural relaxation. The functional is PBE.

## Properties
As for the formation enthalpy at 0 K: -704 meV per atom. Its density of states at the Fermi level is 3.5 states/eV/cell. The total moment comes out at 0.00 μB per formula unit. Its symmetry is No. 216.

The structure in extended XYZ format:
```
3
Lattice="-3.8931 2.2706 1.5006 -2.7318 -1.9403 3.3669 -0.1130 1.8981 4.3530" Properties=species:S:1:pos:R:3 pbc="T T T"
Tl 0.0000 0.0000 0.0000
Ho -3.3690 1.1142 4.6102
Pt -1.6845 0.5571 2.3051
```

This record from Alexandria via LeMat-Bulk describes Ho12Tl5Pt2 after structural relaxation. The functional is PBE.

## Properties
As for the formation enthalpy at 0 K: -370 meV per atom. Its density of states at the Fermi level is 21.4 states/eV/cell. The total moment comes out at 0.00 μB per formula unit. Its symmetry is No. 12.

The structure in extended XYZ format:
```
19
Lattice="-1.8004 5.8692 3.5758 -1.2632 -7.7433 5.0157 8.1628 0.3120 3.5980" Properties=species:S:1:pos:R:3 pbc="T T T"
Ho -1.4179 -1.4451 8.7161
Ho 6.5938 -4.5045 7.1875
Ho 5.6943 -1.5722 8.9739
Ho 3.1731 -4.6505 5.7681
Ho 2.2897 -1.7709 7.5225
Ho 4.8647 3.0982 4.4220
Ho 0.2345 -4.6603 7.7674
Ho 1.9260 3.0884 6.4214
Ho 2.8094 0.2088 4.6669
Ho -1.4946 2.9424 5.0020
Ho -0.5951 0.0101 3.2155
Ho 6.5170 -0.1170 3.4734
Tl 5.1510 -1.9303 5.7620
Tl 0.7790 -2.6864 4.8017
Tl 4.0814 0.1560 1.7990
Tl 4.3201 1.1243 7.3878
Tl -0.0519 0.3682 6.4275
Pt -1.2487 4.0707 2.4801
Pt -0.5517 1.7985 1.0957
```

This record from Alexandria via LeMat-Bulk describes Ho5Tl2Pt after structural relaxation. The functional is PBE.

## Properties
As for the formation enthalpy at 0 K: -539 meV per atom. Its density of states at the Fermi level is 13.4 states/eV/cell. The total moment comes out at 0.00 μB per formula unit. Its symmetry is No. 55.

The structure in extended XYZ format:
```
16
Lattice="-1.8170 4.3020 0.8642 -6.1388 -1.8743 -3.5764 -4.9216 -4.2199 10.6593" Properties=species:S:1:pos:R:3 pbc="T T T"
Ho -2.4608 -2.1100 5.3296
Ho -3.0694 -0.9371 -1.7882
Ho -6.3379 -2.5087 -0.8369
Ho -4.7225 -3.5855 7.9197
Ho -7.4091 -4.1944 5.3024
Ho -3.6513 -1.8998 1.7805
Ho -7.1462 -0.8968 2.4898
Ho -5.7312 -0.8953 5.4573
Ho -10.4817 -3.2738 7.3099
Ho -2.3957 1.4817 0.6372
Tl -5.3245 0.3545 0.0907
Tl -7.5529 -2.1467 7.8563
Tl -9.7853 -2.3661 4.2552
Tl -3.0922 0.5739 3.6919
Pt -5.5302 -3.0471 3.5414
Pt 0.0000 0.0000 0.0000
```